Below is a relaxed structure of Na2LaAl, with properties calculated at the PBE-GGA level.

Space group: No. 122
Uncorrected energy, eV per atom: -2.60
ρ, Mg/m³: 2.74

Structure (POSCAR):
```
Na2LaAl
1.0
4.553 0.000 0.000
0.000 4.553 0.000
2.277 2.277 12.401
Na La Al
4 2 2
direct
0.160 0.625 0.250 Na
0.590 0.125 0.250 Na
0.875 0.840 0.750 Na
0.375 0.410 0.750 Na
0.750 0.250 0.500 La
0.000 0.000 0.000 La
0.250 0.750 0.500 Al
0.500 0.500 0.000 Al
```

***

Below is a relaxed structure of Na2LaAl2, with properties calculated at the PBE-GGA level.

Space group: No. 127
Energy above the most stable polymorph in this dataset, eV per formula unit: 0.96
ρ, Mg/m³: 2.97

Structure (POSCAR):
```
Na2LaAl2
1.0
8.756 0.000 0.000
0.000 8.756 0.000
0.000 0.000 3.478
Al Na La
4 4 2
direct
0.612 0.112 0.000 Al
0.112 0.388 0.000 Al
0.888 0.612 0.000 Al
0.388 0.888 0.000 Al
0.680 0.820 0.500 Na
0.820 0.320 0.500 Na
0.320 0.180 0.500 Na
0.180 0.680 0.500 Na
0.500 0.500 0.000 La
0.000 0.000 0.000 La
```

***

Below is a relaxed structure of NaLa2Al, with properties calculated at the PBE-GGA level.

Space group: No. 123
Uncorrected energy, eV per atom: -3.76
ρ, Mg/m³: 4.49

Structure (POSCAR):
```
NaLa2Al
1.0
-3.916 -0.590 0.874
0.733 -5.403 -0.363
1.218 -0.192 5.324
La Na Al
2 1 1
direct
0.000 0.500 0.000 La
0.000 0.000 0.500 La
0.500 0.500 0.500 Na
0.500 0.000 0.000 Al
```

***

Below is a relaxed structure of Na2La2Al, with properties calculated at the PBE-GGA level.

Space group: No. 127
Energy above the most stable polymorph in this dataset, eV per formula unit: 1.03
ρ, Mg/m³: 3.18

Structure (POSCAR):
```
Na2La2Al
1.0
7.844 0.000 0.000
0.000 7.844 0.000
0.000 0.000 5.963
Al La Na
2 4 4
direct
0.000 0.000 0.000 Al
0.500 0.500 0.000 Al
0.867 0.633 0.000 La
0.367 0.867 0.000 La
0.633 0.133 0.000 La
0.133 0.367 0.000 La
0.173 0.673 0.500 Na
0.827 0.327 0.500 Na
0.673 0.827 0.500 Na
0.327 0.173 0.500 Na
```

***

Below is a relaxed structure of NaLaNdAl, with properties calculated at the PBE-GGA level.

Space group: No. 216
Uncorrected energy, eV per atom: -3.75
ρ, Mg/m³: 4.73

Structure (POSCAR):
```
NaLaNdAl
1.0
5.488 0.000 0.000
2.744 4.753 0.000
2.744 1.584 4.481
La Al Nd Na
1 1 1 1
direct
0.250 0.250 0.250 La
0.500 0.500 0.500 Al
0.750 0.750 0.750 Nd
0.000 0.000 0.000 Na
```

***

Below is a relaxed structure of NaLa2AlNi, with properties calculated at the PBE-GGA level.

Space group: No. 123
Uncorrected energy, eV per atom: -4.28
ρ, Mg/m³: 4.46

Structure (POSCAR):
```
NaLa2AlNi
1.0
-5.356 0.254 -1.408
-1.358 -2.615 4.696
-0.379 4.125 2.188
Ni Al La Na
1 1 2 1
direct
0.000 0.000 0.000 Ni
0.000 0.000 0.500 Al
0.500 0.000 0.000 La
0.000 0.500 0.000 La
0.500 0.500 0.500 Na
```